This record from Alexandria via LeMat-Bulk describes Be2SiAs after structural relaxation. The functional is GGA-PBE.

Raw formation energy ... 0.498 eV per atom
Distance to the lowest polymorph of the same formula ... 325 meV per atom

a = 5.275 Å, b = 6.758 Å, c = 3.048 Å
α = 90.00°, β = 104.15°, γ = 90.00°
Space group C2/m (No. 12)
Symmetry-distinct sites (fractional):
Be: 0.250 0.250 0.000 x4
Si: 0.000 0.000 0.500 x2
As: 0.000 0.500 0.500 x2



This record from Alexandria via LeMat-Bulk describes Tb3HoTm2As6 after structural relaxation. The functional is GGA-PBE.

a = 7.115 Å, b = 12.321 Å, c = 7.111 Å
α = 90.00°, β = 109.45°, γ = 90.00°
Space group C2/m (No. 12)
Symmetry-distinct sites (fractional):
Tb: 0.000 0.000 0.000 x2
Tb: 0.000 0.334 0.000 x4
Ho: 0.000 0.500 0.500 x2
Tm: 0.000 0.167 0.500 x4
As: 0.247 0.000 0.746 x4
As: 0.249 0.333 0.746 x8



This record from Alexandria via LeMat-Bulk describes Nb2HgSe after structural relaxation. The functional is GGA-PBE.

Raw formation energy ... 0.167 eV per atom
Distance to the lowest polymorph of the same formula ... 0 meV per atom

a = 6.638 Å, b = 6.638 Å, c = 6.638 Å
α = 90.00°, β = 90.00°, γ = 90.00°
Space group Fm-3m (No. 225)
Symmetry-distinct sites (fractional):
Nb: 0.250 0.250 0.250 x8
Hg: 0.000 0.000 0.000 x4
Se: 0.000 0.000 0.500 x4



This record from Alexandria via LeMat-Bulk describes LiNi2Rh after structural relaxation. The functional is GGA-PBE.

a = 2.897 Å, b = 3.972 Å, c = 4.096 Å
α = 90.00°, β = 90.00°, γ = 90.00°
Space group Pmmm (No. 47)
Symmetry-distinct sites (fractional):
Li: 0.000 0.000 0.000 x1
Ni: 0.000 0.500 0.500 x1
Ni: 0.500 0.000 0.500 x1
Rh: 0.500 0.500 0.000 x1



E, respectively: -3.88 -6.14 -5.81 -5.18 eV per atom.